A relaxed HgPtW2 crystal. Source: Alexandria via LeMat-Bulk, functional PBE.

Cell lengths 3.319, 3.319, 6.238 Å; angles 90.00, 90.00, 90.00 degrees
Space group P4mm (No. 99)
Symmetry-distinct sites (fractional):
Hg (0.000, 0.000, 0.000) [1 per cell]
Pt (0.500, 0.500, 0.256) [1 per cell]
W (0.000, 0.000, 0.507) [1 per cell]
W (0.500, 0.500, 0.720) [1 per cell]

Energy of formation from the pure elements ... 0.336 eV/atom
D(E_F) ... 1.67 states/eV/f.u.
Total DFT energy (no corrections) ... -7.73 eV per atom